Entry 1:
Cs2KGaAs | PBE-GGA | relaxed

Lattice parameters (Å, degrees): 6.7449 6.4515 6.7449 90.00 90.00 90.00
Positions (direct):
K 0.0000 0.5000 0.0000
Ga 0.0000 0.0000 0.0000
Cs 0.5000 0.0000 0.0000
Cs 0.0000 0.0000 0.5000
As 0.5000 0.5000 0.5000

Output
Total magnetization = 2.6 μB/f.u.

***

Entry 2:
CsK2Ga2As2 | PBE-GGA | relaxed

Lattice parameters (Å, degrees): 4.1153 6.3656 10.8049 109.41 90.00 108.86
Positions (direct):
As 0.7484 0.4969 0.2582
As 0.2516 0.5031 0.7418
K 0.8963 0.7926 0.6062
K 0.1037 0.2074 0.3938
Ga 0.3631 0.7262 0.2492
Ga 0.6369 0.2738 0.7508
Cs 0.0000 0.0000 0.0000

Output
Total magnetization = 0.0 μB/f.u.

***

| no. | calculated formation energy (eV/atom) |
| --- | --- |
| 1 | 0.41 |
| 2 | -0.30 |